1.
Material: Sr3BiPd9Au2
Method: DFT, PBE-GGA
State: relaxed

The structure in POSCAR format:
```
Sr3BiPd9Au2
1.0
5.685 0.000 0.000
-2.843 4.923 0.000
0.000 0.000 13.038
Sr Bi Pd Au
3 1 9 2
Cartesian
0.000 0.000 0.000
0.000 3.282 10.085
2.843 1.641 2.952
0.000 0.000 6.519
-1.421 2.462 0.000
0.000 1.681 4.429
-1.387 4.083 4.429
1.456 0.840 8.609
2.843 0.000 0.000
1.421 2.462 0.000
1.387 4.083 4.429
4.230 0.840 8.609
2.843 3.243 8.609
0.000 3.282 2.190
2.843 1.641 10.848
```

- energy (eV per formula unit) = -67.08
- symmetry = P-3m1
- energy of formation from the pure elements (eV/atom) = -0.3240


2.
Material: Er2ScAl2
Method: DFT, PBE-GGA
State: relaxed

The structure in POSCAR format:
```
Er2ScAl2
1.0
-2.273 3.123 4.312
2.273 -3.123 4.312
2.273 3.123 -4.312
Er Sc Al
2 1 2
Cartesian
0.000 0.000 1.710
0.000 0.000 6.913
0.000 3.123 0.000
2.273 1.320 0.000
0.000 1.803 4.312
```

- energy (eV per formula unit) = -24.51
- symmetry = Immm
- energy of formation from the pure elements (eV/atom) = -0.3143


3.
Material: Mg2AlTc
Method: DFT, PBE-GGA
State: relaxed

The structure in POSCAR format:
```
Mg2AlTc
1.0
2.768 0.000 0.000
0.000 4.790 0.000
-0.635 0.000 5.049
Mg Al Tc
2 1 1
Cartesian
0.536 0.000 1.218
1.597 0.000 3.831
-0.318 2.395 2.524
1.384 2.395 0.000
```

- energy (eV per formula unit) = -17.01
- symmetry = P2/m
- energy of formation from the pure elements (eV/atom) = 0.0725


4.
Material: K2MgNi
Method: DFT, PBE-GGA
State: relaxed

The structure in POSCAR format:
```
K2MgNi
1.0
-2.747 2.747 3.855
2.747 -2.747 3.855
2.747 2.747 -3.855
K Mg Ni
2 1 1
Cartesian
0.000 0.000 0.000
0.000 2.747 1.927
2.747 0.000 1.927
0.000 0.000 3.855
```

- energy (eV per formula unit) = -7.33
- symmetry = I-4m2
- energy of formation from the pure elements (eV/atom) = 0.5593


5.
Material: Pm6DyHo2Mg
Method: DFT, PBE-GGA
State: relaxed

The structure in POSCAR format:
```
Pm6DyHo2Mg
1.0
4.633 -7.622 0.000
4.633 7.622 0.000
-0.788 0.000 9.262
Pm Dy Ho Mg
12 2 4 2
Cartesian
1.401 3.285 7.415
3.770 4.932 5.118
4.315 4.932 8.774
3.347 1.682 3.652
1.794 -3.285 2.785
5.526 1.682 0.979
2.953 -1.682 8.282
6.684 3.285 6.477
5.132 -1.682 5.610
4.164 -4.932 0.487
4.709 -4.932 4.143
7.078 -3.285 1.846
4.436 7.227 2.315
4.042 -7.227 6.946
2.362 0.804 0.472
1.968 -0.804 5.103
6.511 0.804 4.159
6.117 -0.804 8.790
4.042 1.245 6.946
4.436 -1.245 2.315
```

- energy (eV per formula unit) = -42.67
- symmetry = C2/c
- energy of formation from the pure elements (eV/atom) = 0.1190


6.
Material: MgCo2Te
Method: DFT, PBE-GGA
State: relaxed

The structure in POSCAR format:
```
MgCo2Te
1.0
0.000 3.174 3.174
3.174 0.000 3.174
3.174 3.174 0.000
Mg Co Te
1 2 1
Cartesian
0.000 0.000 0.000
1.587 1.587 1.587
3.174 3.174 3.174
4.761 4.761 4.761
```

- energy (eV per formula unit) = -17.37
- symmetry = F-43m
- polymorph energy (0 for the lowest one) (kJ/mol of atoms) = 30.9
- formation energy (no corrections) (eV/f.u.) = 1.58


7.
Material: Y2UCr2C4
Method: DFT, PBE-GGA
State: relaxed

The structure in POSCAR format:
```
Y2UCr2C4
1.0
6.377 -1.693 0.000
6.377 1.693 0.000
-1.966 0.000 5.691
Y U Cr C
2 1 2 4
Cartesian
1.650 0.000 0.263
9.137 0.000 5.428
-0.983 0.000 2.846
3.063 0.000 2.892
7.724 0.000 2.799
1.407 0.000 4.004
4.501 0.000 4.237
6.286 0.000 1.454
9.381 0.000 1.687
```

- energy (eV per formula unit) = -81.11
- symmetry = C2/m
- energy of formation from the pure elements (eV/atom) = -0.0831


8.
Material: Cs2K4RbCd2
Method: DFT, PBE-GGA
State: relaxed

The structure in POSCAR format:
```
Cs2K4RbCd2
1.0
7.557 0.000 0.000
-2.391 7.609 0.000
-1.182 -2.013 10.099
Cs K Rb Cd
2 4 1 2
Cartesian
0.144 2.414 3.905
3.840 3.181 6.194
-0.340 2.201 8.935
2.416 -1.147 7.115
1.568 6.743 2.984
4.324 3.394 1.164
0.000 0.000 0.000
-2.248 6.025 3.863
6.232 -0.429 6.236
```

- energy (eV per formula unit) = -8.96
- symmetry = P-1
- energy of formation from the pure elements (eV/atom) = -0.0070